(1)
A plane-wave DFT calculation with PBE-GGA was carried out for a relaxed structure of Mn2AlCdIn.

Calculated values
space group	P4/mmm, No. 123

abc: 5.1184 5.1184 5.0792
angles: 90.00 90.00 90.00
Positions (direct):
Mn: 0.0000 0.5000 0.0000
Mn: 0.5000 0.0000 0.0000
Al: 0.0000 0.0000 0.5000
Cd: 0.5000 0.5000 0.5000
In: 0.0000 0.0000 0.0000



(2)
A plane-wave DFT calculation with PBE-GGA was carried out for a relaxed structure of TcMoRu3.

Calculated values
space group	Pm-3m, No. 221

abc: 4.5998 4.5998 4.5998
angles: 90.00 90.00 90.00
Positions (direct):
Tc: 0.0000 0.0000 0.0000
Mo: 0.5000 0.5000 0.5000
Ru: 0.0000 0.5000 0.5000
Ru: 0.5000 0.0000 0.5000
Ru: 0.5000 0.5000 0.0000



Number 1: calculated formation energy 1.00 eV per atom, VASP energy -20.73 eV/cell. Number 2: calculated formation energy 1.85 eV per atom, VASP energy -39.76 eV/cell.